(1)
! Th3Si4Os4, relaxed, DFT PBE; values from VASP
&SYSTEM
  ibrav = 0, nat = 11, ntyp = 3
/
ATOMIC_SPECIES
Th 232.04 Th.upf
Si 28.09 Si.upf
Os 190.23 Os.upf
CELL_PARAMETERS angstrom
4.381 -0.001 -0.140
0.000 4.187 0.002
1.752 2.087 11.717
ATOMIC_POSITIONS angstrom
Th 2.002 4.183 8.298
Th 4.132 2.091 3.280
Th 1.752 2.087 11.717
Si 4.137 2.089 9.109
Si 1.598 2.090 5.810
Si 4.535 4.184 5.769
Si 1.996 4.184 2.470
Os 4.214 4.183 10.449
Os 1.920 2.091 1.130
Os 2.348 4.184 4.864
Os 3.786 2.089 6.715
! Uncorrected formation energy ... -635 meV/atom
! Total magnetization ... 0.0 μB/cell
! VASP energy ... -95.86 eV per cell

(2)
! ThSi3Os3, relaxed, DFT PBE; values from VASP
&SYSTEM
  ibrav = 0, nat = 14, ntyp = 3
/
ATOMIC_SPECIES
Th 232.04 Th.upf
Si 28.09 Si.upf
Os 190.23 Os.upf
CELL_PARAMETERS angstrom
6.830 0.000 0.000
3.415 5.915 0.000
3.415 1.972 6.640
ATOMIC_POSITIONS angstrom
Th 6.830 3.944 6.606
Th 6.830 3.944 0.034
Si 4.430 4.344 1.878
Si 7.684 1.664 1.878
Si 8.378 5.822 1.878
Si 5.283 2.065 4.762
Si 5.977 6.223 4.762
Si 9.231 3.543 4.762
Os 8.222 5.736 4.307
Os 7.687 1.842 4.307
Os 4.582 4.253 4.307
Os 9.079 3.635 2.333
Os 5.974 6.045 2.333
Os 5.438 2.151 2.333
! Uncorrected formation energy ... -173 meV/atom
! Total magnetization ... 0.0 μB/cell
! VASP energy ... -117.18 eV per cell

(3)
! ThSi2Os4, relaxed, DFT PBE; values from VASP
&SYSTEM
  ibrav = 0, nat = 7, ntyp = 3
/
ATOMIC_SPECIES
Th 232.04 Th.upf
Si 28.09 Si.upf
Os 190.23 Os.upf
CELL_PARAMETERS angstrom
-3.604 0.872 -1.550
-1.515 -3.383 1.620
-0.904 5.243 5.051
ATOMIC_POSITIONS angstrom
Th 0.000 0.000 0.000
Si -2.848 -0.640 1.051
Si -3.176 3.371 4.070
Os -3.603 0.974 3.716
Os -1.383 -0.355 3.016
Os -2.420 1.757 1.405
Os -1.036 2.214 3.655
! Uncorrected formation energy ... -471 meV/atom
! Total magnetization ... 0.0 μB/cell
! VASP energy ... -66.48 eV per cell

(4)
! ThSi2Os, relaxed, DFT PBE; values from VASP
&SYSTEM
  ibrav = 0, nat = 16, ntyp = 3
/
ATOMIC_SPECIES
Th 232.04 Th.upf
Si 28.09 Si.upf
Os 190.23 Os.upf
CELL_PARAMETERS angstrom
4.214 0.000 0.000
0.000 6.967 0.000
0.000 0.000 10.185
ATOMIC_POSITIONS angstrom
Th 3.160 4.594 3.800
Th 3.160 1.110 1.293
Th 1.053 2.373 6.385
Th 1.053 5.857 8.892
Si 3.160 4.796 0.825
Si 1.053 2.171 9.360
Si 3.160 1.312 4.267
Si 1.053 5.655 5.917
Si 3.160 1.055 8.366
Si 1.053 2.428 3.274
Si 3.160 4.539 6.911
Si 1.053 5.912 1.818
Os 1.053 0.042 3.941
Os 3.160 6.925 6.243
Os 1.053 3.525 1.151
Os 3.160 3.442 9.034
! Uncorrected formation energy ... -739 meV/atom
! Total magnetization ... 0.0 μB/cell
! VASP energy ... -129.80 eV per cell